VASP calculation (PBE) on CaNdReO6 after structural relaxation.

Structure (POSCAR):
```
CaNdReO6
1.0
5.5432 0.0000 0.0000
-2.7716 4.8006 0.0000
0.0000 0.0000 4.9361
Ca Nd Re O
1 1 1 6
Direct
0.0000 0.0000 0.0000 Ca
0.6667 0.3333 0.5000 Nd
0.3333 0.6667 0.0000 Re
0.0466 0.3885 0.2198 O
0.0466 0.6580 0.7802 O
0.3420 0.3885 0.7802 O
0.3420 0.9534 0.2198 O
0.6115 0.6580 0.2198 O
0.6115 0.9534 0.7802 O
```

Summary:
The uncorrected formation energy is -2.436 eV/atom. Its space group is P312 (149).

---

VASP calculation (PBE) on CaNd2RhO6 after structural relaxation.

Structure (POSCAR):
```
CaNd2RhO6
1.0
5.6177 0.0000 0.0000
0.0000 5.9630 0.0000
-5.5272 0.0000 8.1290
Ca Nd Rh O
2 4 2 12
Direct
0.0000 0.0000 0.0000 Ca
0.0000 0.5000 0.5000 Ca
0.2704 0.0660 0.7484 Nd
0.2704 0.4340 0.2484 Nd
0.7296 0.5660 0.7516 Nd
0.7296 0.9340 0.2516 Nd
0.5000 0.0000 0.5000 Rh
0.5000 0.5000 0.0000 Rh
0.1447 0.0512 0.2681 O
0.1447 0.4488 0.7681 O
0.2663 0.6841 0.0587 O
0.2663 0.8159 0.5587 O
0.3937 0.2125 0.0687 O
0.3937 0.2875 0.5687 O
0.6063 0.7125 0.4313 O
0.6063 0.7875 0.9313 O
0.7337 0.1841 0.4413 O
0.7337 0.3159 0.9413 O
0.8553 0.5512 0.2319 O
0.8553 0.9488 0.7319 O
```

Summary:
The uncorrected formation energy is -2.490 eV/atom. Its space group is P2_1/c (14).

---

Please write out number 2 again, unchanged.
VASP calculation (PBE) on CaNd2RhO6 after structural relaxation.

Structure (POSCAR):
```
CaNd2RhO6
1.0
5.6177 0.0000 0.0000
0.0000 5.9630 0.0000
-5.5272 0.0000 8.1290
Ca Nd Rh O
2 4 2 12
Direct
0.0000 0.0000 0.0000 Ca
0.0000 0.5000 0.5000 Ca
0.2704 0.0660 0.7484 Nd
0.2704 0.4340 0.2484 Nd
0.7296 0.5660 0.7516 Nd
0.7296 0.9340 0.2516 Nd
0.5000 0.0000 0.5000 Rh
0.5000 0.5000 0.0000 Rh
0.1447 0.0512 0.2681 O
0.1447 0.4488 0.7681 O
0.2663 0.6841 0.0587 O
0.2663 0.8159 0.5587 O
0.3937 0.2125 0.0687 O
0.3937 0.2875 0.5687 O
0.6063 0.7125 0.4313 O
0.6063 0.7875 0.9313 O
0.7337 0.1841 0.4413 O
0.7337 0.3159 0.9413 O
0.8553 0.5512 0.2319 O
0.8553 0.9488 0.7319 O
```

Summary:
The uncorrected formation energy is -2.490 eV/atom. Its space group is P2_1/c (14).